(1)
SrRe3Ni: relaxed, PBE.

Cell: 4.7246 4.7246 4.7246 Å, 90.00 90.00 90.00°
Atoms (fractional coordinates):
Sr 0.0000 0.0000 0.0000
Re 0.0000 0.0000 0.5000
Re 0.0000 0.5000 0.0000
Re 0.5000 0.0000 0.0000
Ni 0.5000 0.5000 0.5000

Values from the calculation:
Final energy, eV for the cell shown: -24.97
Crystal system: cubic
Total magnetization, μB per cell: 0.000

***

(2)
Zn2InPd: relaxed, PBE.

Cell: 3.3650 3.3650 6.0154 Å, 90.00 90.00 90.00°
Atoms (fractional coordinates):
Zn 0.0000 0.0000 0.2131
Zn 0.0000 0.0000 0.7869
In 0.5000 0.5000 0.5000
Pd 0.5000 0.5000 0.0000

Values from the calculation:
Final energy, eV for the cell shown: -11.35
Crystal system: tetragonal
Total magnetization, μB per cell: 0.000

***

(3)
DyPd4Au7: relaxed, PBE.

Cell: 5.8840 6.4668 6.5514 Å, 72.12 64.21 76.82°
Atoms (fractional coordinates):
Dy 0.0000 0.0000 0.0000
Pd 0.1650 0.6741 0.3351
Pd 0.4155 0.6647 0.8344
Pd 0.5845 0.3353 0.1656
Pd 0.8350 0.3259 0.6649
Au 0.0880 0.3466 0.1709
Au 0.2527 0.0005 0.4958
Au 0.3365 0.3367 0.6622
Au 0.5000 0.0000 0.0000
Au 0.6635 0.6633 0.3378
Au 0.7473 0.9995 0.5042
Au 0.9120 0.6534 0.8291

Values from the calculation:
Final energy, eV for the cell shown: -52.09
Crystal system: triclinic
Total magnetization, μB per cell: 0.000

***

(4)
MgTe2O5: relaxed, PBE.

Cell: 7.3949 10.8327 6.0422 Å, 90.00 90.00 90.00°
Atoms (fractional coordinates):
Mg 0.0000 0.0589 0.2500
Mg 0.0000 0.9411 0.7500
Mg 0.5000 0.4411 0.7500
Mg 0.5000 0.5589 0.2500
Te 0.1369 0.3465 0.0105
Te 0.1369 0.6535 0.5105
Te 0.3631 0.1535 0.5105
Te 0.3631 0.8465 0.0105
Te 0.6369 0.1535 0.9895
Te 0.6369 0.8465 0.4895
Te 0.8631 0.3465 0.4895
Te 0.8631 0.6535 0.9895
O 0.0000 0.4401 0.2500
O 0.0000 0.5599 0.7500
O 0.1466 0.0649 0.5507
O 0.1466 0.9351 0.0507
O 0.1914 0.2061 0.1867
O 0.1914 0.7939 0.6867
O 0.3086 0.2939 0.6867
O 0.3086 0.7061 0.1867
O 0.3534 0.4351 0.0507
O 0.3534 0.5649 0.5507
O 0.5000 0.0599 0.7500
O 0.5000 0.9401 0.2500
O 0.6466 0.4351 0.4493
O 0.6466 0.5649 0.9493
O 0.6914 0.2939 0.8133
O 0.6914 0.7061 0.3133
O 0.8086 0.2061 0.3133
O 0.8086 0.7939 0.8133
O 0.8534 0.0649 0.9493
O 0.8534 0.9351 0.4493

Values from the calculation:
Uncorrected formation energy, eV/f.u.: -12.057
Crystal system: orthorhombic
Total magnetization, μB per cell: 0.000

***

(5)
ZrTa2Al: relaxed, PBE.

Cell: 5.2099 5.2099 5.2099 Å, 135.02 129.73 69.72°
Atoms (fractional coordinates):
Zr 0.0000 0.0000 0.0000
Ta 0.4990 0.4990 0.0000
Ta 0.7471 0.2471 0.5000
Al 0.2528 0.7528 0.5000

Values from the calculation:
Final energy, eV for the cell shown: -36.13
Crystal system: orthorhombic
Total magnetization, μB per cell: 0.000

***

(6)
MnBe2InPt: relaxed, PBE.

Cell: 4.3567 4.3567 5.1215 Å, 90.00 90.00 90.00°
Atoms (fractional coordinates):
Mn 0.0000 0.0000 0.0000
Be 0.0000 0.5000 0.5000
Be 0.5000 0.0000 0.5000
In 0.5000 0.5000 0.0000
Pt 0.5000 0.5000 0.5000

Values from the calculation:
Final energy, eV for the cell shown: -23.30
Crystal system: tetragonal
Total magnetization, μB per cell: 4.247

***

(7)
Ac4Bi2SbTe: relaxed, PBE.

Cell: 8.3453 4.8296 8.3575 Å, 90.00 109.48 90.00°
Atoms (fractional coordinates):
Ac 0.2476 0.0000 0.2454
Ac 0.2509 0.5000 0.7545
Ac 0.7491 0.5000 0.2455
Ac 0.7524 0.0000 0.7546
Bi 0.5000 0.0000 0.0000
Bi 0.5000 0.5000 0.5000
Sb 0.0000 0.5000 0.0000
Te 0.0000 0.0000 0.5000

Values from the calculation:
Uncorrected formation energy, eV/f.u.: -9.693
Crystal system: monoclinic
Total magnetization, μB per cell: 0.000

***

(8)
CoTcCl2: relaxed, PBE.

Cell: 7.3435 7.3435 7.3435 Å, 156.30 147.35 40.74°
Atoms (fractional coordinates):
Co 0.0000 0.0000 0.0000
Tc 0.5000 0.5000 0.0000
Cl 0.3606 0.8606 0.5000
Cl 0.6394 0.1394 0.5000

Values from the calculation:
Uncorrected formation energy, eV/f.u.: 0.710
Crystal system: orthorhombic
Total magnetization, μB per cell: 2.920

***

(9)
Ga2SnI6: relaxed, PBE.

Cell: 10.3127 10.3127 9.4299 Å, 106.84 106.84 87.50°
Atoms (fractional coordinates):
Ga 0.1027 0.2803 0.2539
Ga 0.2803 0.1027 0.7539
Ga 0.7197 0.8973 0.2461
Ga 0.8973 0.7197 0.7461
Sn 0.4125 0.5875 0.7500
Sn 0.5875 0.4125 0.2500
I 0.1320 0.5690 0.7818
I 0.1398 0.1470 0.9687
I 0.1470 0.1398 0.4687
I 0.2923 0.4957 0.3726
I 0.4310 0.8680 0.7182
I 0.4957 0.2923 0.8726
I 0.5043 0.7077 0.1274
I 0.5690 0.1320 0.2818
I 0.7077 0.5043 0.6274
I 0.8530 0.8602 0.5313
I 0.8602 0.8530 0.0313
I 0.8680 0.4310 0.2182

Values from the calculation:
Uncorrected formation energy, eV/f.u.: -3.465
Crystal system: monoclinic
Total magnetization, μB per cell: 0.000

***

(10)
Ba2YSc: relaxed, PBE.

Cell: 6.1205 6.1205 4.3779 Å, 90.00 90.00 90.00°
Atoms (fractional coordinates):
Ba 0.0000 0.5000 0.0000
Ba 0.5000 0.0000 0.0000
Y 0.0000 0.0000 0.5000
Sc 0.5000 0.5000 0.5000

Values from the calculation:
Final energy, eV for the cell shown: -14.99
Crystal system: tetragonal
Total magnetization, μB per cell: 0.006

***

(11)
La4NdHo2: relaxed, PBE.

Cell: 9.1240 9.1240 9.1240 Å, 134.91 100.65 96.27°
Atoms (fractional coordinates):
La 0.1539 0.1519 0.0020
La 0.2573 0.2256 0.4683
La 0.2573 0.7890 0.0317
La 0.3500 0.8481 0.5020
La 0.6500 0.1519 0.4980
La 0.7427 0.2110 0.9683
La 0.7427 0.7744 0.5317
La 0.8461 0.8481 0.9980
Nd 0.0000 0.0000 0.5000
Nd 0.0000 0.5000 0.0000
Ho 0.0000 0.5000 0.5000
Ho 0.4664 0.7164 0.7500
Ho 0.5000 0.5000 0.0000
Ho 0.5336 0.2836 0.2500

Values from the calculation:
Final energy, eV for the cell shown: -64.14
Crystal system: orthorhombic
Total magnetization, μB per cell: 0.000

***

(12)
UAg2BiS6: relaxed, PBE.

Cell: 6.5973 6.6007 7.3260 Å, 63.35 63.26 60.05°
Atoms (fractional coordinates):
U 0.0000 0.0000 0.0000
Ag 0.3261 0.3246 0.0241
Ag 0.8161 0.8160 0.5513
Bi 0.5071 0.5069 0.4788
S 0.0833 0.7523 0.7682
S 0.2142 0.5993 0.2565
S 0.3965 0.0831 0.7684
S 0.5995 0.9293 0.2566
S 0.7527 0.3954 0.7686
S 0.9299 0.2153 0.2557

Values from the calculation:
Uncorrected formation energy, eV/f.u.: -4.616
Crystal system: triclinic
Total magnetization, μB per cell: 0.000

***

(13)
LiThPt: relaxed, PBE.

Cell: 7.4461 4.0248 12.8142 Å, 90.00 90.77 90.00°
Atoms (fractional coordinates):
Li 0.0133 0.2500 0.0788
Li 0.1167 0.7500 0.5376
Li 0.3812 0.2500 0.1999
Li 0.6188 0.7500 0.8001
Li 0.8833 0.2500 0.4624
Li 0.9867 0.7500 0.9212
Th 0.0610 0.7500 0.2860
Th 0.3290 0.2500 0.9187
Th 0.4466 0.2500 0.6266
Th 0.5534 0.7500 0.3734
Th 0.6710 0.7500 0.0813
Th 0.9390 0.2500 0.7140
Pt 0.2335 0.7500 0.7518
Pt 0.2666 0.7500 0.0814
Pt 0.2676 0.2500 0.4152
Pt 0.7324 0.7500 0.5848
Pt 0.7334 0.2500 0.9186
Pt 0.7665 0.2500 0.2482

Values from the calculation:
Final energy, eV for the cell shown: -107.10
Crystal system: monoclinic
Total magnetization, μB per cell: 0.000

***

(14)
AcLa2Sm2Dy: relaxed, PBE.

Cell: 5.8452 10.1458 7.3147 Å, 90.00 90.00 90.00°
Atoms (fractional coordinates):
Ac 0.0000 0.9997 0.0000
Ac 0.0000 0.0003 0.5000
La 0.0000 0.3350 0.2501
La 0.0000 0.6650 0.7501
La 0.5000 0.5004 0.0003
La 0.5000 0.4996 0.5003
Sm 0.0000 0.3351 0.7506
Sm 0.0000 0.6649 0.2506
Sm 0.5000 0.1699 0.2497
Sm 0.5000 0.8301 0.7497
Dy 0.5000 0.1672 0.7501
Dy 0.5000 0.8328 0.2501

Values from the calculation:
Final energy, eV for the cell shown: -55.33
Crystal system: orthorhombic
Total magnetization, μB per cell: 0.000

***

(15)
SrLiOs: relaxed, PBE.

Cell: 5.7877 5.7877 5.7877 Å, 145.72 145.72 49.27°
Atoms (fractional coordinates):
Sr 0.0000 0.0000 0.0000
Li 0.2822 0.2822 0.0000
Os 0.6921 0.6921 0.0000

Values from the calculation:
Final energy, eV for the cell shown: -12.63
Crystal system: tetragonal
Total magnetization, μB per cell: 0.318

***

(16)
Na12InSn7: relaxed, PBE.

Cell: 8.6248 8.6248 8.6248 Å, 103.37 103.37 103.37°
Atoms (fractional coordinates):
Na 0.0229 0.2611 0.7528
Na 0.1484 0.4142 0.1977
Na 0.1977 0.1484 0.4142
Na 0.2472 0.9771 0.7389
Na 0.2611 0.7528 0.0229
Na 0.4142 0.1977 0.1484
Na 0.5858 0.8023 0.8516
Na 0.7389 0.2472 0.9771
Na 0.7528 0.0229 0.2611
Na 0.8023 0.8516 0.5858
Na 0.8516 0.5858 0.8023
Na 0.9771 0.7389 0.2472
In 0.5000 0.5000 0.5000
Sn 0.0000 0.0000 0.0000
Sn 0.1884 0.5723 0.6073
Sn 0.3927 0.8116 0.4277
Sn 0.4277 0.3927 0.8116
Sn 0.5723 0.6073 0.1884
Sn 0.6073 0.1884 0.5723
Sn 0.8116 0.4277 0.3927

Values from the calculation:
Final energy, eV for the cell shown: -49.07
Crystal system: trigonal
Total magnetization, μB per cell: 0.000

***

(17)
BaBiAu: relaxed, PBE.

Cell: 6.9663 6.9663 4.8523 Å, 110.36 110.36 85.95°
Atoms (fractional coordinates):
Ba 0.2430 0.7570 0.0000
Ba 0.7570 0.2430 0.0000
Bi 0.3255 0.3255 0.3263
Bi 0.6745 0.6745 0.6737
Au 0.1525 0.1525 0.6535
Au 0.8475 0.8475 0.3465

Values from the calculation:
Final energy, eV for the cell shown: -22.50
Crystal system: monoclinic
Total magnetization, μB per cell: 0.000

***

(18)
K3Be2Br8: relaxed, PBE.

Cell: 10.1611 10.1611 10.1611 Å, 41.66 41.66 41.66°
Atoms (fractional coordinates):
K 0.0000 0.0000 0.0000
K 0.2091 0.2091 0.2091
K 0.7909 0.7909 0.7909
Be 0.4081 0.4081 0.4081
Be 0.5919 0.5919 0.5919
Br 0.2363 0.7301 0.7301
Br 0.2699 0.2699 0.7637
Br 0.2699 0.7637 0.2699
Br 0.3296 0.3296 0.3296
Br 0.6704 0.6704 0.6704
Br 0.7301 0.2363 0.7301
Br 0.7301 0.7301 0.2363
Br 0.7637 0.2699 0.2699

Values from the calculation:
Uncorrected formation energy, eV/f.u.: -15.913
Crystal system: trigonal
Total magnetization, μB per cell: 0.640

***

(19)
Li2ScSbO4: relaxed, PBE.

Cell: 5.8283 5.8283 5.8283 Å, 135.81 135.81 64.27°
Atoms (fractional coordinates):
Li 0.0000 0.0000 0.0000
Li 0.7500 0.2500 0.5000
Sc 0.2500 0.7500 0.5000
Sb 0.5000 0.5000 0.0000
O 0.0332 0.5332 0.5000
O 0.2577 0.2577 0.0000
O 0.4668 0.9668 0.5000
O 0.7423 0.7423 0.0000

Values from the calculation:
Uncorrected formation energy, eV/f.u.: -17.148
Crystal system: tetragonal
Total magnetization, μB per cell: 0.000

***

(20)
Na4HfPa3S8: relaxed, PBE.

Cell: 8.2123 8.2123 8.2123 Å, 55.39 55.39 55.39°
Atoms (fractional coordinates):
Na 0.0000 0.0000 0.0000
Na 0.0000 0.5000 0.5000
Na 0.5000 0.0000 0.5000
Na 0.5000 0.5000 0.0000
Hf 0.5000 0.5000 0.5000
Pa 0.0000 0.0000 0.5000
Pa 0.0000 0.5000 0.0000
Pa 0.5000 0.0000 0.0000
S 0.2477 0.2477 0.2477
S 0.2574 0.7358 0.7358
S 0.2642 0.2642 0.7426
S 0.2642 0.7426 0.2642
S 0.7358 0.2574 0.7358
S 0.7358 0.7358 0.2574
S 0.7426 0.2642 0.2642
S 0.7523 0.7523 0.7523

Values from the calculation:
Uncorrected formation energy, eV/f.u.: -23.023
Crystal system: trigonal
Total magnetization, μB per cell: 3.594

***

(21)
NaNdZnGe: relaxed, PBE.

Cell: 5.0779 5.0779 5.0779 Å, 60.00 60.00 60.00°
Atoms (fractional coordinates):
Na 0.0000 0.0000 0.0000
Nd 0.5000 0.5000 0.5000
Zn 0.2500 0.2500 0.2500
Ge 0.7500 0.7500 0.7500

Values from the calculation:
Final energy, eV for the cell shown: -13.19
Crystal system: cubic
Total magnetization, μB per cell: 0.000

***

(22)
Ti2Pd8Pt: relaxed, PBE.

Cell: 7.2144 7.2144 7.2144 Å, 146.80 120.72 69.66°
Atoms (fractional coordinates):
Ti 0.1928 0.1928 0.0000
Ti 0.8072 0.8072 0.0000
Pd 0.0648 0.3439 0.7209
Pd 0.1981 0.0000 0.1981
Pd 0.3425 0.8425 0.5000
Pd 0.3770 0.6561 0.7209
Pd 0.6230 0.3439 0.2791
Pd 0.6575 0.1575 0.5000
Pd 0.8019 0.0000 0.8019
Pd 0.9352 0.6561 0.2791
Pt 0.5000 0.5000 0.0000

Values from the calculation:
Final energy, eV for the cell shown: -67.74
Crystal system: orthorhombic
Total magnetization, μB per cell: 0.000